BaLa2 | GGA-PBE | relaxed

Results
The value obtained for the mass density is 5713 kg/m³. Its size of the total moment is 0.0 Bohr magnetons per cell. For the total energy, the calculation gives -42.8 eV for the cell shown. The formation energy is 0.357 eV/atom.

The structure in CIF format:
```
data_BaLa2
_chemical_formula_sum 'Ba4 La8'
_cell_length_a 8.0863
_cell_length_b 8.0863
_cell_length_c 7.3817
_cell_angle_alpha 90.00
_cell_angle_beta 90.00
_cell_angle_gamma 90.00
_symmetry_space_group_name_H-M 'I 4/m c m'
_symmetry_Int_Tables_number 140
_symmetry_space_group_name_Hall '-I 4 2c'
loop_
_atom_site_label
_atom_site_type_symbol
_atom_site_fract_x
_atom_site_fract_y
_atom_site_fract_z
Ba1 Ba 0.0000 0.0000 0.2500
La1 La 0.1385 0.3615 0.0000
```